! Mn4PtW | Alexandria via LeMat-Bulk | GGA-PBEsol | optimized geometry; values from VASP
! crystal system	cubic
! spin magnetization	1.84	μB per formula unit
! electronic total energy	-10.039	eV/atom
! DOS at the Fermi energy	1.322	states/eV per atom
&SYSTEM
  ibrav = 0, nat = 6, ntyp = 3
/
ATOMIC_SPECIES
Mn 54.94 Mn.upf
Pt 195.08 Pt.upf
W 183.84 W.upf
ATOMIC_POSITIONS crystal
Mn 0.3773 0.3773 0.3773
Mn 0.3773 0.3773 0.8680
Mn 0.8680 0.3773 0.3773
Mn 0.3773 0.8680 0.3773
Pt 0.7500 0.7500 0.7500
W 0.0000 0.0000 0.0000
CELL_PARAMETERS angstrom
-3.0261 1.0761 -3.3737
-3.6891 -2.7350 -0.7789
-4.2757 1.4891 1.0945


! MnPtW2 | Alexandria via LeMat-Bulk | GGA-PBEsol | optimized geometry; values from VASP
! crystal system	tetragonal
! spin magnetization	1.04	μB per formula unit
! electronic total energy	-11.137	eV/atom
! DOS at the Fermi energy	0.788	states/eV per atom
! relative energy among the computed polymorphs	0	meV per atom
&SYSTEM
  ibrav = 0, nat = 4, ntyp = 3
/
ATOMIC_SPECIES
Mn 54.94 Mn.upf
Pt 195.08 Pt.upf
W 183.84 W.upf
ATOMIC_POSITIONS crystal
Mn 0.5000 0.5000 0.5000
Pt 0.0000 0.0000 0.5000
W 0.0000 0.5000 0.0000
W 0.5000 0.0000 0.0000
CELL_PARAMETERS angstrom
3.8135 0.0000 0.0000
0.0000 3.8135 0.0000
0.0000 0.0000 3.9126